The following is a DFT calculation (GGA-PBE) of crystalline RbSc3H at its relaxed geometry.

a = 4.890 Å, b = 4.890 Å, c = 4.890 Å
α = 90.00°, β = 90.00°, γ = 90.00°
Fractional positions:
Rb: 0.000 0.000 0.000
Sc: 0.000 0.500 0.500
Sc: 0.500 0.000 0.500
Sc: 0.500 0.500 0.000
H: 0.500 0.500 0.500

Spin magnetization in μB per formula unit: 0.9
SG: Pm-3m, No. 221
VASP energy in eV per atom: -4.1275

---

The following is a DFT calculation (GGA-PBE) of crystalline Ac2AlZn4In3 at its relaxed geometry.

a = 4.592 Å, b = 4.592 Å, c = 11.262 Å
α = 90.00°, β = 90.00°, γ = 90.00°
Fractional positions:
Ac: 0.000 0.500 0.249
Ac: 0.500 0.000 0.751
Al: 0.500 0.500 0.000
Zn: 0.000 0.000 0.500
Zn: 0.000 0.500 0.869
Zn: 0.500 0.000 0.131
Zn: 0.500 0.500 0.500
In: 0.000 0.000 0.000
In: 0.000 0.500 0.632
In: 0.500 0.000 0.368

Spin magnetization in μB per formula unit: 0.0
SG: P-4m2, No. 115
VASP energy in eV per atom: -2.8805
Formation energy from the elements in eV/atom: -0.35

---

The following is a DFT calculation (GGA-PBE) of crystalline RbSeS3 at its relaxed geometry.

a = 4.769 Å, b = 8.912 Å, c = 8.457 Å
α = 90.00°, β = 106.20°, γ = 90.00°
Fractional positions:
Rb: 0.223 0.250 0.208
Rb: 0.777 0.750 0.792
Se: 0.332 0.250 0.696
Se: 0.668 0.750 0.304
S: 0.093 0.750 0.467
S: 0.337 0.022 0.897
S: 0.337 0.478 0.897
S: 0.663 0.522 0.103
S: 0.663 0.978 0.103
S: 0.907 0.250 0.533

Spin magnetization in μB per formula unit: 0.0
SG: P2_1/m, No. 11
VASP energy in eV per atom: -3.6137
Raw formation energy in eV per atom: -0.247

---

The following is a DFT calculation (GGA-PBE) of crystalline SbAuCl4 at its relaxed geometry.

a = 5.808 Å, b = 5.808 Å, c = 5.808 Å
α = 60.00°, β = 60.00°, γ = 60.00°
Fractional positions:
Sb: 0.000 0.000 0.000
Au: 0.750 0.750 0.750
Cl: 0.376 0.376 0.376
Cl: 0.376 0.376 0.873
Cl: 0.376 0.873 0.376
Cl: 0.873 0.376 0.376

Spin magnetization in μB per formula unit: 1.8
SG: F-43m, No. 216
VASP energy in eV per atom: -1.7867
Raw formation energy in eV per atom: 0.678

---

The following is a DFT calculation (GGA-PBE) of crystalline ScSbRu2 at its relaxed geometry.

a = 3.101 Å, b = 3.101 Å, c = 7.521 Å
α = 90.00°, β = 90.00°, γ = 90.00°
Fractional positions:
Sc: 0.000 0.000 0.000
Sb: 0.500 0.500 0.664
Ru: 0.000 0.000 0.447
Ru: 0.500 0.500 0.223

Spin magnetization in μB per formula unit: 0.0
SG: P4mm, No. 99
VASP energy in eV per atom: -7.3157
Raw formation energy in eV per atom: -0.064

---

The following is a DFT calculation (GGA-PBE) of crystalline Ca2MnCl at its relaxed geometry.

a = 5.491 Å, b = 5.491 Å, c = 5.491 Å
α = 60.00°, β = 60.00°, γ = 60.00°
Fractional positions:
Ca: 0.000 0.000 0.000
Ca: 0.250 0.250 0.250
Mn: 0.750 0.750 0.750
Cl: 0.500 0.500 0.500

Spin magnetization in μB per formula unit: 3.9
SG: F-43m, No. 216
VASP energy in eV per atom: -3.5361
Raw formation energy in eV per atom: 0.219

---

The following is a DFT calculation (GGA-PBE) of crystalline Li2RuBr at its relaxed geometry.

a = 5.115 Å, b = 5.115 Å, c = 5.115 Å
α = 137.80°, β = 137.80°, γ = 61.21°
Fractional positions:
Li: 0.000 0.000 0.000
Li: 0.750 0.250 0.500
Ru: 0.250 0.750 0.500
Br: 0.500 0.500 0.000

Spin magnetization in μB per formula unit: 1.1
SG: I-4m2, No. 119
VASP energy in eV per atom: -3.5452
Raw formation energy in eV per atom: 0.149

---

The following is a DFT calculation (GGA-PBE) of crystalline KSiAg2O4 at its relaxed geometry.

a = 5.358 Å, b = 5.358 Å, c = 5.358 Å
α = 114.91°, β = 113.91°, γ = 99.99°
Fractional positions:
K: 0.000 0.000 0.000
Si: 0.500 0.500 0.000
Ag: 0.283 0.783 0.500
Ag: 0.717 0.217 0.500
O: 0.196 0.529 0.000
O: 0.471 0.471 0.667
O: 0.529 0.196 0.000
O: 0.804 0.804 0.333

Spin magnetization in μB per formula unit: 0.0
SG: I222, No. 23
VASP energy in eV per atom: -5.4074
Raw formation energy in eV per atom: -1.400

---

The following is a DFT calculation (GGA-PBE) of crystalline Mg8Cd2Hg at its relaxed geometry.

a = 8.516 Å, b = 8.516 Å, c = 6.624 Å
α = 112.79°, β = 112.79°, γ = 34.15°
Fractional positions:
Mg: 0.001 0.001 0.239
Mg: 0.177 0.177 0.679
Mg: 0.353 0.353 0.616
Mg: 0.355 0.355 0.087
Mg: 0.645 0.645 0.913
Mg: 0.647 0.647 0.384
Mg: 0.823 0.823 0.321
Mg: 0.999 0.999 0.761
Cd: 0.180 0.180 0.180
Cd: 0.820 0.820 0.820
Hg: 0.500 0.500 0.500

Spin magnetization in μB per formula unit: 0.0
SG: C2/m, No. 12
VASP energy in eV per atom: -1.4335
Formation energy from the elements in eV/atom: -0.08

---

The following is a DFT calculation (GGA-PBE) of crystalline BeReNiPb2 at its relaxed geometry.

a = 5.334 Å, b = 5.334 Å, c = 4.582 Å
α = 90.00°, β = 90.00°, γ = 90.00°
Fractional positions:
Be: 0.000 0.000 0.000
Re: 0.500 0.500 0.500
Ni: 0.500 0.500 0.000
Pb: 0.000 0.500 0.500
Pb: 0.500 0.000 0.500

Spin magnetization in μB per formula unit: 0.0
SG: P4/mmm, No. 123
VASP energy in eV per atom: -4.5393
Formation energy from the elements in eV/atom: 1.34

---

The following is a DFT calculation (GGA-PBE) of crystalline Mg2TiNb at its relaxed geometry.

a = 6.081 Å, b = 6.081 Å, c = 6.081 Å
α = 100.86°, β = 100.86°, γ = 128.56°
Fractional positions:
Mg: 0.120 0.625 0.995
Mg: 0.375 0.370 0.495
Mg: 0.630 0.125 0.005
Mg: 0.875 0.880 0.505
Ti: 0.000 0.000 0.000
Ti: 0.750 0.250 0.500
Nb: 0.250 0.750 0.500
Nb: 0.500 0.500 0.000

Spin magnetization in μB per formula unit: 0.0
SG: I-42d, No. 122
VASP energy in eV per atom: -4.6460
Formation energy from the elements in eV/atom: 0.64

---

The following is a DFT calculation (GGA-PBE) of crystalline Zn4Si3 at its relaxed geometry.

a = 5.081 Å, b = 5.081 Å, c = 5.081 Å
α = 90.00°, β = 90.00°, γ = 90.00°
Fractional positions:
Zn: 0.000 0.000 0.000
Zn: 0.000 0.500 0.500
Zn: 0.500 0.000 0.500
Zn: 0.500 0.500 0.000
Si: 0.000 0.000 0.500
Si: 0.000 0.500 0.000
Si: 0.500 0.000 0.000

Spin magnetization in μB per formula unit: 0.0
SG: Pm-3m, No. 221
VASP energy in eV per atom: -2.6214
Raw formation energy in eV per atom: 0.431

---

The following is a DFT calculation (GGA-PBE) of crystalline Pa5Ti2Se12 at its relaxed geometry.

a = 8.766 Å, b = 8.766 Å, c = 8.783 Å
α = 104.69°, β = 104.69°, γ = 49.14°
Fractional positions:
Pa: 0.000 0.000 0.000
Pa: 0.305 0.305 0.156
Pa: 0.319 0.319 0.651
Pa: 0.681 0.681 0.349
Pa: 0.695 0.695 0.844
Ti: 0.288 0.712 0.500
Ti: 0.712 0.288 0.500
Se: 0.002 0.002 0.308
Se: 0.073 0.594 0.411
Se: 0.098 0.602 0.929
Se: 0.398 0.902 0.071
Se: 0.406 0.927 0.589
Se: 0.495 0.495 0.259
Se: 0.505 0.505 0.741
Se: 0.594 0.073 0.411
Se: 0.602 0.098 0.929
Se: 0.902 0.398 0.071
Se: 0.927 0.406 0.589
Se: 0.998 0.998 0.692

Spin magnetization in μB per formula unit: 7.1
SG: C2/m, No. 12
VASP energy in eV per atom: -6.7774
Raw formation energy in eV per atom: -1.247

---

The following is a DFT calculation (GGA-PBE) of crystalline BeAlHg2 at its relaxed geometry.

a = 4.808 Å, b = 4.808 Å, c = 4.808 Å
α = 60.00°, β = 60.00°, γ = 60.00°
Fractional positions:
Be: 0.000 0.000 0.000
Al: 0.250 0.250 0.250
Hg: 0.500 0.500 0.500
Hg: 0.750 0.750 0.750

Spin magnetization in μB per formula unit: 0.0
SG: F-43m, No. 216
VASP energy in eV per atom: -1.4545
Formation energy from the elements in eV/atom: 0.56

---

The following is a DFT calculation (GGA-PBE) of crystalline FeTcS2N at its relaxed geometry.

a = 4.591 Å, b = 4.591 Å, c = 3.363 Å
α = 90.00°, β = 90.00°, γ = 90.00°
Fractional positions:
Fe: 0.000 0.000 0.000
Tc: 0.500 0.500 0.500
S: 0.000 0.500 0.000
S: 0.500 0.000 0.000
N: 0.000 0.000 0.500

Spin magnetization in μB per formula unit: 2.8
SG: P4/mmm, No. 123
VASP energy in eV per atom: -6.4349
Raw formation energy in eV per atom: 0.647

---

The following is a DFT calculation (GGA-PBE) of crystalline Sr2Tl2Ge at its relaxed geometry.

a = 7.921 Å, b = 7.921 Å, c = 5.144 Å
α = 90.00°, β = 90.00°, γ = 90.00°
Fractional positions:
Sr: 0.175 0.325 0.000
Sr: 0.325 0.825 0.000
Sr: 0.675 0.175 0.000
Sr: 0.825 0.675 0.000
Tl: 0.136 0.636 0.500
Tl: 0.364 0.136 0.500
Tl: 0.636 0.864 0.500
Tl: 0.864 0.364 0.500
Ge: 0.000 0.000 0.500
Ge: 0.500 0.500 0.500

Spin magnetization in μB per formula unit: 0.0
SG: P4/mbm, No. 127
VASP energy in eV per atom: -2.8069
Formation energy from the elements in eV/atom: -0.26

---

The following is a DFT calculation (GGA-PBE) of crystalline Ba2CoCu at its relaxed geometry.

a = 5.501 Å, b = 5.501 Å, c = 3.870 Å
α = 90.07°, β = 90.07°, γ = 89.84°
Fractional positions:
Ba: 0.000 0.500 0.000
Ba: 0.500 0.000 0.000
Co: 0.000 0.000 0.500
Cu: 0.500 0.500 0.500

Spin magnetization in μB per formula unit: 0.8
SG: C2/m, No. 12
VASP energy in eV per atom: -3.3610
Formation energy from the elements in eV/atom: 0.40

---

The following is a DFT calculation (GGA-PBE) of crystalline KBeAu2 at its relaxed geometry.

a = 5.301 Å, b = 5.301 Å, c = 5.954 Å
α = 96.01°, β = 96.01°, γ = 39.49°
Fractional positions:
K: 0.000 0.000 0.000
Be: 0.805 0.805 0.492
Au: 0.167 0.167 0.514
Au: 0.449 0.449 0.498

Spin magnetization in μB per formula unit: 0.0
SG: Cm, No. 8
VASP energy in eV per atom: -2.9795
Formation energy from the elements in eV/atom: -0.13

---

The following is a DFT calculation (GGA-PBE) of crystalline Te6Pd5Au at its relaxed geometry.

a = 6.829 Å, b = 6.829 Å, c = 6.923 Å
α = 99.41°, β = 99.41°, γ = 118.70°
Fractional positions:
Te: 0.067 0.413 0.743
Te: 0.237 0.237 0.254
Te: 0.413 0.067 0.743
Te: 0.587 0.933 0.257
Te: 0.763 0.763 0.746
Te: 0.933 0.587 0.257
Pd: 0.000 0.000 0.500
Pd: 0.168 0.832 0.000
Pd: 0.339 0.661 0.500
Pd: 0.661 0.339 0.500
Pd: 0.832 0.168 0.000
Au: 0.500 0.500 0.000

Spin magnetization in μB per formula unit: 0.0
SG: C2/m, No. 12
VASP energy in eV per atom: -4.2498
Raw formation energy in eV per atom: -0.242

---

The following is a DFT calculation (GGA-PBE) of crystalline MgNbSi2 at its relaxed geometry.

a = 5.267 Å, b = 5.279 Å, c = 9.903 Å
α = 90.00°, β = 105.78°, γ = 90.00°
Fractional positions:
Mg: 0.203 0.125 0.150
Mg: 0.203 0.875 0.650
Mg: 0.797 0.125 0.350
Mg: 0.797 0.875 0.850
Nb: 0.310 0.369 0.862
Nb: 0.310 0.631 0.362
Nb: 0.690 0.369 0.638
Nb: 0.690 0.631 0.138
Si: 0.163 0.375 0.585
Si: 0.163 0.625 0.085
Si: 0.332 0.134 0.427
Si: 0.332 0.866 0.927
Si: 0.668 0.134 0.073
Si: 0.668 0.866 0.573
Si: 0.837 0.375 0.915
Si: 0.837 0.625 0.415

Spin magnetization in μB per formula unit: 0.0
SG: P2/c, No. 13
VASP energy in eV per atom: -5.8424
Raw formation energy in eV per atom: -0.215

---

Number 1: DOS at the Fermi energy 8.17 states/eV/cell. Number 2: DOS at the Fermi energy 3.17 states/eV/cell. Number 3: DOS at the Fermi energy 6.69 states/eV/cell. Number 4: DOS at the Fermi energy 4.00 states/eV/cell. Number 5: DOS at the Fermi energy 5.72 states/eV/cell. Number 6: DOS at the Fermi energy 2.78 states/eV/cell. Number 7: DOS at the Fermi energy 3.42 states/eV/cell. Number 8: DOS at the Fermi energy 4.38 states/eV/cell. Number 9: DOS at the Fermi energy 3.73 states/eV/cell. Number 10: DOS at the Fermi energy 4.86 states/eV/cell. Number 11: DOS at the Fermi energy 6.68 states/eV/cell. Number 12: DOS at the Fermi energy 4.14 states/eV/cell. Number 13: DOS at the Fermi energy 26.15 states/eV/cell. Number 14: DOS at the Fermi energy 0.85 states/eV/cell. Number 15: DOS at the Fermi energy 4.17 states/eV/cell. Number 16: DOS at the Fermi energy 5.68 states/eV/cell. Number 17: DOS at the Fermi energy 7.09 states/eV/cell. Number 18: DOS at the Fermi energy 0.91 states/eV/cell. Number 19: DOS at the Fermi energy 6.39 states/eV/cell. Number 20: DOS at the Fermi energy 6.86 states/eV/cell.